# 1
The following is a PBE calculation of a relaxed structure of GaAuSeN2, from Alexandria via LeMat-Bulk.

abc: 3.916 3.916 7.891
angles: 90.00 90.00 90.00
Fractional coordinates of all 5 atoms:
1 Ga 0.000 0.000 0.000
2 Au 0.500 0.500 0.500
3 Se 0.500 0.500 0.000
4 N 0.000 0.500 0.500
5 N 0.500 0.000 0.500

Computed properties:
energy relative to the elements, uncorrected: 1.46 eV/atom
E_tot: -19.123 eV/cell
Fermi-level density of states: 0.25 states/eV/atom
magnetic moment: 3.15 μB per cell

# 2
The following is a PBE calculation of a relaxed structure of Co5Pt2Rh2, from Alexandria via LeMat-Bulk.

abc: 11.679 11.679 2.652
angles: 90.01 90.01 18.97
Fractional coordinates of all 9 atoms:
1 Co 0.000 0.000 0.000
2 Co 0.223 0.223 0.999
3 Co 0.449 0.449 0.502
4 Co 0.551 0.551 0.498
5 Co 0.777 0.777 0.001
6 Pt 0.109 0.109 0.998
7 Pt 0.891 0.891 0.002
8 Rh 0.324 0.324 0.501
9 Rh 0.676 0.676 0.499

Computed properties:
E_tot: -62.131 eV/cell
Fermi-level density of states: 1.11 states/eV/atom
magnetic moment: 0.76 μB per cell
formation enthalpy at 0 K: 0.020 eV/atom

# 3
The following is a PBE calculation of a relaxed structure of LaDyCuPt, from Alexandria via LeMat-Bulk.

abc: 7.158 7.158 7.158
angles: 90.00 90.00 90.00
Fractional coordinates of all 16 atoms:
1 La 0.000 0.000 0.000
2 La 0.000 0.500 0.500
3 La 0.500 0.000 0.500
4 La 0.500 0.500 0.000
5 Dy 0.000 0.000 0.500
6 Dy 0.000 0.500 0.000
7 Dy 0.500 0.000 0.000
8 Dy 0.500 0.500 0.500
9 Cu 0.250 0.250 0.750
10 Cu 0.250 0.750 0.250
11 Cu 0.750 0.250 0.250
12 Cu 0.750 0.750 0.750
13 Pt 0.250 0.250 0.250
14 Pt 0.250 0.750 0.750
15 Pt 0.750 0.250 0.750
16 Pt 0.750 0.750 0.250

Computed properties:
E_tot: -89.502 eV/cell
Fermi-level density of states: 0.50 states/eV/atom
magnetic moment: 0.00 μB per cell
formation enthalpy at 0 K: -0.677 eV/atom

# 4
The following is a PBE calculation of a relaxed structure of ScTl2Se, from Alexandria via LeMat-Bulk.

abc: 3.573 3.573 8.227
angles: 90.00 90.00 90.00
Fractional coordinates of all 4 atoms:
1 Sc 0.000 0.000 0.000
2 Tl 0.000 0.000 0.454
3 Tl 0.500 0.500 0.734
4 Se 0.500 0.500 0.127

Computed properties:
energy relative to the elements, uncorrected: -0.61 eV/atom
E_tot: -16.999 eV/cell
Fermi-level density of states: 0.71 states/eV/atom
magnetic moment: 0.00 μB per cell

# 5
The following is a PBE calculation of a relaxed structure of MoPt2Se, from Alexandria via LeMat-Bulk.

abc: 3.893 3.893 8.556
angles: 90.00 90.00 90.00
Fractional coordinates of all 8 atoms:
1 Mo 0.000 0.000 0.000
2 Mo 0.500 0.500 0.500
3 Pt 0.000 0.500 0.250
4 Pt 0.000 0.500 0.750
5 Pt 0.500 0.000 0.250
6 Pt 0.500 0.000 0.750
7 Se 0.000 0.000 0.500
8 Se 0.500 0.500 0.000

Computed properties:
energy relative to the elements, uncorrected: 0.26 eV/atom
E_tot: -50.752 eV/cell
Fermi-level density of states: 1.14 states/eV/atom
magnetic moment: 0.00 μB per cell

# 6
The following is a PBE calculation of a relaxed structure of SrLiV, from Alexandria via LeMat-Bulk.

abc: 7.470 7.470 7.470
angles: 90.00 90.00 90.00
Fractional coordinates of all 12 atoms:
1 Sr 0.000 0.000 0.000
2 Sr 0.000 0.500 0.500
3 Sr 0.500 0.000 0.500
4 Sr 0.500 0.500 0.000
5 Li 0.000 0.000 0.500
6 Li 0.000 0.500 0.000
7 Li 0.500 0.000 0.000
8 Li 0.500 0.500 0.500
9 V 0.250 0.250 0.250
10 V 0.250 0.750 0.750
11 V 0.750 0.250 0.750
12 V 0.750 0.750 0.250

Computed properties:
E_tot: -38.538 eV/cell
Fermi-level density of states: 2.08 states/eV/atom
magnetic moment: 19.44 μB per cell
formation enthalpy at 0 K: 1.027 eV/atom